Density functional theory data (PBE) for a relaxed PuZn11Ge crystal.

It has space group C2/m (No. 12), with a = 5.3041 Å, b = 12.7249 Å, c = 6.7872 Å, α = 90.00°, β = 112.32° and γ = 90.00°. The distinct sites, in fractional coordinates, are Pu at (0.0000, 0.0000, 0.0000), Zn at (0.0000, 0.5000, 0.5000), Zn at (0.0959, 0.3916, 0.2114), Zn at (0.1879, 0.1801, 0.3522), Zn at (0.2500, 0.2500, 0.0000) and Ge at (0.0000, 0.0000, 0.5000).

For the energy relative to the elements, the calculation gives -0.07 eV per atom.